VASP calculation (GGA-PBE) on a relaxed Mg7GaAg2 crystal.

Cell: 4.7117 4.7117 11.3479 Å, 90.00 90.00 120.00°
Last column: nearest neighbours and their distance in Å.
Space group P3m1 (No. 156)
Inequivalent atoms, fractional coordinates:
Mg: 0.0000 0.0000 0.0000 [1 per cell]  4 Ag 2.69-3.00, 1 Mg 2.95
Mg: 0.0000 0.0000 0.2599 [1 per cell]  8 Mg 2.95-3.03, 3 Ag 3.20, 3 Ga 3.27
Mg: 0.0000 0.0000 0.5262 [1 per cell]  1 Ag 2.68, 3 Ga 2.98
Mg: 0.3333 0.6667 0.1426 [1 per cell]  3 Ag 2.74, 3 Mg 3.03
Mg: 0.3333 0.6667 0.6821 [1 per cell]  3 Ag 2.87, 1 Ga 2.98
Mg: 0.6667 0.3333 0.3746 [1 per cell]  3 Ga 2.77, 1 Ag 2.99, 3 Mg 3.02
Mg: 0.6667 0.3333 0.8498 [1 per cell]  4 Ag 2.89-2.97, 3 Mg 3.21
Ga: 0.3333 0.6667 0.4198 [1 per cell]  7 Mg 2.77-2.98
Ag: 0.0000 0.0000 0.7628 [1 per cell]  8 Mg 2.68-2.89
Ag: 0.6667 0.3333 0.1114 [1 per cell]  8 Mg 2.74-3.00

Energy relative to the elements   -0.8 eV per formula unit
D(E_F)   4.80 states/eV/cell
Spin magnetization   0.00 Bohr magnetons per cell